## YTcAs2Br (GGA-PBE)

Data for a relaxed YTcAs2Br crystal.

Cell and atoms, written as CIF:
```
data_YTcAs2Br
_chemical_formula_sum 'Y1 Tc1 As2 Br1'
_symmetry_space_group_name_H-M 'P 4/m m m'
_symmetry_Int_Tables_number 123
_symmetry_space_group_name_Hall '-P 4 2'
_cell_length_a 4.783
_cell_length_b 4.783
_cell_length_c 5.235
_cell_angle_alpha 90.00
_cell_angle_beta 90.00
_cell_angle_gamma 90.00
loop_
_atom_site_label
_atom_site_type_symbol
_atom_site_fract_x
_atom_site_fract_y
_atom_site_fract_z
Y1 Y 0.000 0.000 0.000
Tc1 Tc 0.500 0.500 0.500
As1 As 0.000 0.500 0.500
Br1 Br 0.500 0.500 0.000
```

Output
Energy above the most stable polymorph in this dataset (meV per atom): 0

***

## YTcAs2Br (GGA-PBE)

Data for a relaxed YTcAs2Br crystal.

Cell and atoms, written as CIF:
```
data_YTcAs2Br
_chemical_formula_sum 'Y1 Tc1 As2 Br1'
_symmetry_space_group_name_H-M 'P 4/m m m'
_symmetry_Int_Tables_number 123
_symmetry_space_group_name_Hall '-P 4 2'
_cell_length_a 5.476
_cell_length_b 5.476
_cell_length_c 5.365
_cell_angle_alpha 90.00
_cell_angle_beta 90.00
_cell_angle_gamma 90.00
loop_
_atom_site_label
_atom_site_type_symbol
_atom_site_fract_x
_atom_site_fract_y
_atom_site_fract_z
Y1 Y 0.000 0.000 0.000
Tc1 Tc 0.500 0.500 0.500
As1 As 0.000 0.500 0.000
Br1 Br 0.000 0.000 0.500
```

Output
Energy above the most stable polymorph in this dataset (meV per atom): 764

***

## ZnTcAsBr2 (GGA-PBE)

Data for a relaxed ZnTcAsBr2 crystal.

Cell and atoms, written as CIF:
```
data_ZnTcAsBr2
_chemical_formula_sum 'Zn1 Tc1 As1 Br2'
_symmetry_space_group_name_H-M 'P 4/m m m'
_symmetry_Int_Tables_number 123
_symmetry_space_group_name_Hall '-P 4 2'
_cell_length_a 5.245
_cell_length_b 5.245
_cell_length_c 4.781
_cell_angle_alpha 90.00
_cell_angle_beta 90.00
_cell_angle_gamma 90.00
loop_
_atom_site_label
_atom_site_type_symbol
_atom_site_fract_x
_atom_site_fract_y
_atom_site_fract_z
Zn1 Zn 0.000 0.000 0.000
Tc1 Tc 0.500 0.500 0.500
As1 As 0.500 0.500 0.000
Br1 Br 0.000 0.500 0.500
```

Output
Energy above the most stable polymorph in this dataset (meV per atom): 0

***

## ZnTcAsBr2 (GGA-PBE)

Data for a relaxed ZnTcAsBr2 crystal.

Cell and atoms, written as CIF:
```
data_ZnTcAsBr2
_chemical_formula_sum 'Zn1 Tc1 As1 Br2'
_symmetry_space_group_name_H-M 'P 4/m m m'
_symmetry_Int_Tables_number 123
_symmetry_space_group_name_Hall '-P 4 2'
_cell_length_a 5.497
_cell_length_b 5.497
_cell_length_c 4.991
_cell_angle_alpha 90.00
_cell_angle_beta 90.00
_cell_angle_gamma 90.00
loop_
_atom_site_label
_atom_site_type_symbol
_atom_site_fract_x
_atom_site_fract_y
_atom_site_fract_z
Zn1 Zn 0.000 0.000 0.000
Tc1 Tc 0.500 0.500 0.000
As1 As 0.500 0.500 0.500
Br1 Br 0.000 0.500 0.500
```

Output
Energy above the most stable polymorph in this dataset (meV per atom): 398

***

## ZnTcAsBr2 (GGA-PBE)

Data for a relaxed ZnTcAsBr2 crystal.

Cell and atoms, written as CIF:
```
data_ZnTcAsBr2
_chemical_formula_sum 'Zn1 Tc1 As1 Br2'
_symmetry_space_group_name_H-M 'P 4/m m m'
_symmetry_Int_Tables_number 123
_symmetry_space_group_name_Hall '-P 4 2'
_cell_length_a 5.000
_cell_length_b 5.000
_cell_length_c 5.205
_cell_angle_alpha 90.00
_cell_angle_beta 90.00
_cell_angle_gamma 90.00
loop_
_atom_site_label
_atom_site_type_symbol
_atom_site_fract_x
_atom_site_fract_y
_atom_site_fract_z
Zn1 Zn 0.000 0.000 0.000
Tc1 Tc 0.500 0.500 0.500
As1 As 0.000 0.000 0.500
Br1 Br 0.000 0.500 0.000
```

Output
Energy above the most stable polymorph in this dataset (meV per atom): 509

***

## ZrTcAs2Br (GGA-PBE)

Data for a relaxed ZrTcAs2Br crystal.

Cell and atoms, written as CIF:
```
data_ZrTcAs2Br
_chemical_formula_sum 'Zr1 Tc1 As2 Br1'
_symmetry_space_group_name_H-M 'P 4/m m m'
_symmetry_Int_Tables_number 123
_symmetry_space_group_name_Hall '-P 4 2'
_cell_length_a 5.228
_cell_length_b 5.228
_cell_length_c 5.201
_cell_angle_alpha 90.00
_cell_angle_beta 90.00
_cell_angle_gamma 90.00
loop_
_atom_site_label
_atom_site_type_symbol
_atom_site_fract_x
_atom_site_fract_y
_atom_site_fract_z
Zr1 Zr 0.000 0.000 0.000
Tc1 Tc 0.500 0.500 0.500
As1 As 0.000 0.500 0.000
Br1 Br 0.000 0.000 0.500
```

Output
Energy above the most stable polymorph in this dataset (meV per atom): 190

***

## ZrTcAsBr2 (GGA-PBE)

Data for a relaxed ZrTcAsBr2 crystal.

Cell and atoms, written as CIF:
```
data_ZrTcAsBr2
_chemical_formula_sum 'Zr1 Tc1 As1 Br2'
_symmetry_space_group_name_H-M 'P 4/m m m'
_symmetry_Int_Tables_number 123
_symmetry_space_group_name_Hall '-P 4 2'
_cell_length_a 5.160
_cell_length_b 5.160
_cell_length_c 5.453
_cell_angle_alpha 90.00
_cell_angle_beta 90.00
_cell_angle_gamma 90.00
loop_
_atom_site_label
_atom_site_type_symbol
_atom_site_fract_x
_atom_site_fract_y
_atom_site_fract_z
Zr1 Zr 0.000 0.000 0.000
Tc1 Tc 0.500 0.500 0.000
As1 As 0.000 0.000 0.500
Br1 Br 0.000 0.500 0.500
```

Output
Energy above the most stable polymorph in this dataset (meV per atom): 624

***

## ZrTcAsBr2 (GGA-PBE)

Data for a relaxed ZrTcAsBr2 crystal.

Cell and atoms, written as CIF:
```
data_ZrTcAsBr2
_chemical_formula_sum 'Zr1 Tc1 As1 Br2'
_symmetry_space_group_name_H-M 'P 4/m m m'
_symmetry_Int_Tables_number 123
_symmetry_space_group_name_Hall '-P 4 2'
_cell_length_a 5.063
_cell_length_b 5.063
_cell_length_c 4.795
_cell_angle_alpha 90.00
_cell_angle_beta 90.00
_cell_angle_gamma 90.00
loop_
_atom_site_label
_atom_site_type_symbol
_atom_site_fract_x
_atom_site_fract_y
_atom_site_fract_z
Zr1 Zr 0.000 0.000 0.000
Tc1 Tc 0.500 0.500 0.500
As1 As 0.500 0.500 0.000
Br1 Br 0.000 0.500 0.500
```

Output
Energy above the most stable polymorph in this dataset (meV per atom): 118

***

## ZrTcAsBr2 (GGA-PBE)

Data for a relaxed ZrTcAsBr2 crystal.

Cell and atoms, written as CIF:
```
data_ZrTcAsBr2
_chemical_formula_sum 'Zr1 Tc1 As1 Br2'
_symmetry_space_group_name_H-M 'P 4/m m m'
_symmetry_Int_Tables_number 123
_symmetry_space_group_name_Hall '-P 4 2'
_cell_length_a 5.220
_cell_length_b 5.220
_cell_length_c 5.391
_cell_angle_alpha 90.00
_cell_angle_beta 90.00
_cell_angle_gamma 90.00
loop_
_atom_site_label
_atom_site_type_symbol
_atom_site_fract_x
_atom_site_fract_y
_atom_site_fract_z
Zr1 Zr 0.000 0.000 0.000
Tc1 Tc 0.500 0.500 0.500
As1 As 0.000 0.000 0.500
Br1 Br 0.000 0.500 0.000
```

Output
Energy above the most stable polymorph in this dataset (meV per atom): 0

***

## ZrTcAs2Br (GGA-PBE)

Data for a relaxed ZrTcAs2Br crystal.

Cell and atoms, written as CIF:
```
data_ZrTcAs2Br
_chemical_formula_sum 'Zr1 Tc1 As2 Br1'
_symmetry_space_group_name_H-M 'P 4/m m m'
_symmetry_Int_Tables_number 123
_symmetry_space_group_name_Hall '-P 4 2'
_cell_length_a 4.754
_cell_length_b 4.754
_cell_length_c 5.193
_cell_angle_alpha 90.00
_cell_angle_beta 90.00
_cell_angle_gamma 90.00
loop_
_atom_site_label
_atom_site_type_symbol
_atom_site_fract_x
_atom_site_fract_y
_atom_site_fract_z
Zr1 Zr 0.000 0.000 0.000
Tc1 Tc 0.500 0.500 0.500
As1 As 0.000 0.500 0.500
Br1 Br 0.500 0.500 0.000
```

Output
Energy above the most stable polymorph in this dataset (meV per atom): 0

***

## TeAsBr2 (GGA-PBE)

Data for a relaxed TeAsBr2 crystal.

Cell and atoms, written as CIF:
```
data_TeAsBr2
_chemical_formula_sum 'Te2 As2 Br4'
_symmetry_space_group_name_H-M 'C 1 m 1'
_symmetry_Int_Tables_number 8
_cell_length_a 7.093
_cell_length_b 4.029
_cell_length_c 8.316
_cell_angle_alpha 90.00
_cell_angle_beta 93.60
_cell_angle_gamma 90.00
loop_
_symmetry_equiv_pos_as_xyz
'x,y,z'
'x,-y,z'
'x+1/2,y+1/2,z'
'x+1/2,-y+1/2,z'
loop_
_atom_site_label
_atom_site_type_symbol
_atom_site_fract_x
_atom_site_fract_y
_atom_site_fract_z
Te1 Te 0.000 0.000 0.000
As1 As 0.337 0.000 0.806
Br1 Br 0.091 0.500 0.583
Br2 Br 0.268 0.500 0.269
```

Output
Energy above the most stable polymorph in this dataset (meV per atom): 73

***

## TeAsBr2 (GGA-PBE)

Data for a relaxed TeAsBr2 crystal.

Cell and atoms, written as CIF:
```
data_TeAsBr2
_chemical_formula_sum 'Te4 As4 Br8'
_symmetry_space_group_name_H-M 'I -4 2 d'
_symmetry_Int_Tables_number 122
_symmetry_space_group_name_Hall 'I -4 2bw'
_cell_length_a 10.751
_cell_length_b 10.751
_cell_length_c 5.477
_cell_angle_alpha 90.00
_cell_angle_beta 90.00
_cell_angle_gamma 90.00
loop_
_atom_site_label
_atom_site_type_symbol
_atom_site_fract_x
_atom_site_fract_y
_atom_site_fract_z
Te1 Te 0.000 0.000 0.000
As1 As 0.000 0.000 0.500
Br1 Br 0.005 0.750 0.625
```

Output
Energy above the most stable polymorph in this dataset (meV per atom): 338